(1)
DFT (PBE) results for a relaxed Al2Hg crystal.

POSCAR file:
```
Al2Hg
1.0
4.058 2.343 6.626
-4.058 2.343 6.626
0.000 -4.685 6.626
Al Hg
4 2
direct
0.375 0.875 0.375
0.875 0.375 0.375
0.375 0.375 0.375
0.375 0.375 0.875
0.250 0.250 0.250
0.500 0.500 0.500
```

Its uncorrected energy is -1.6360 eV per atom. The energy above the lowest structure with this stoichiometry is 792 meV/atom.

=====

(2)
DFT (PBE) results for a relaxed YFeCuTe crystal.

POSCAR file:
```
YFeCuTe
1.0
0.000 3.398 3.398
3.398 0.000 3.398
3.398 3.398 0.000
Cu Fe Te Y
1 1 1 1
direct
0.750 0.750 0.750
0.500 0.500 0.500
0.250 0.250 0.250
0.000 0.000 0.000
```

Its uncorrected energy is -5.3857 eV per atom. The energy above the lowest structure with this stoichiometry is 0 meV/atom.

=====

(3)
DFT (PBE) results for a relaxed PmGa6Pt4 crystal.

POSCAR file:
```
PmGa6Pt4
1.0
7.442 0.000 0.000
-3.721 6.445 0.000
0.000 0.000 4.013
Ga Pm Pt
6 1 4
direct
0.533 0.066 0.000
0.533 0.467 0.000
0.934 0.467 0.000
0.196 0.392 0.500
0.196 0.804 0.500
0.608 0.804 0.500
0.000 0.000 0.000
0.333 0.667 0.000
0.402 0.201 0.500
0.799 0.201 0.500
0.799 0.598 0.500
```

Its uncorrected energy is -5.0527 eV per atom.